(1)
{"formula": "Tl2InS", "functional": "GGA-PBE", "state": "relaxed", "e_form_raw_ev_per_fu": 0.117, "lattice_angstrom": [[-3.522, 3.522, 5.909], [3.522, -3.522, 5.909], [3.522, 3.522, -5.909]], "species": ["Tl", "Tl", "Tl", "Tl", "In", "In", "S", "S"], "frac_coords": [[0.096, 0.625, 0.971], [0.375, 0.346, 0.471], [0.654, 0.125, 0.029], [0.875, 0.904, 0.529], [0.250, 0.750, 0.500], [0.500, 0.500, 0.000], [0.000, 0.000, 0.000], [0.750, 0.250, 0.500]]}

***

(2)
{"formula": "MgTe3Os", "functional": "GGA-PBE", "state": "relaxed", "e_form_raw_ev_per_fu": 2.874, "lattice_angstrom": [[5.290, 0.000, 0.000], [0.000, 5.290, 0.000], [0.000, 0.000, 5.290]], "species": ["Mg", "Te", "Te", "Te", "Os"], "frac_coords": [[0.000, 0.000, 0.000], [0.000, 0.500, 0.500], [0.500, 0.000, 0.500], [0.500, 0.500, 0.000], [0.500, 0.500, 0.500]]}

***

(3)
{"formula": "AlSnPb", "functional": "GGA-PBE", "state": "relaxed", "ef_ev_per_atom": 0.1380, "lattice_angstrom": [[3.962, -3.256, 0.000], [3.962, 3.256, 0.000], [-1.941, 0.000, 6.186]], "species": ["Al", "Al", "Sn", "Sn", "Pb", "Pb"], "frac_coords": [[0.212, 0.788, 0.000], [0.788, 0.212, 0.000], [0.346, 0.346, 0.248], [0.654, 0.654, 0.752], [0.208, 0.208, 0.684], [0.792, 0.792, 0.316]]}

***

(4)
{"formula": "BaLiHgBi2", "functional": "GGA-PBE", "state": "relaxed", "ef_ev_per_atom": -0.4284, "lattice_angstrom": [[5.340, 0.000, 0.000], [0.000, 5.340, 0.000], [0.000, 0.000, 5.474]], "species": ["Ba", "Li", "Hg", "Bi", "Bi"], "frac_coords": [[0.000, 0.000, 0.000], [0.500, 0.500, 0.500], [0.500, 0.500, 0.000], [0.000, 0.500, 0.500], [0.500, 0.000, 0.500]]}

***

(5)
{"formula": "Sc3AlGa", "functional": "GGA-PBE", "state": "relaxed", "ef_ev_per_atom": -0.2892, "lattice_angstrom": [[5.300, -2.997, 0.000], [5.300, 2.997, 0.000], [-1.607, 0.000, 13.309]], "species": ["Sc", "Sc", "Sc", "Sc", "Sc", "Sc", "Sc", "Sc", "Sc", "Sc", "Sc", "Sc", "Al", "Al", "Al", "Al", "Ga", "Ga", "Ga", "Ga"], "frac_coords": [[0.012, 0.345, 0.796], [0.055, 0.832, 0.894], [0.158, 0.452, 0.596], [0.168, 0.945, 0.606], [0.345, 0.012, 0.296], [0.452, 0.158, 0.096], [0.548, 0.842, 0.904], [0.655, 0.988, 0.704], [0.832, 0.055, 0.394], [0.842, 0.548, 0.404], [0.945, 0.168, 0.106], [0.988, 0.655, 0.204], [0.323, 0.570, 0.412], [0.430, 0.677, 0.088], [0.570, 0.323, 0.912], [0.677, 0.430, 0.588], [0.000, 0.500, 0.000], [0.422, 0.578, 0.750], [0.500, 0.000, 0.500], [0.578, 0.422, 0.250]]}

***

(6)
{"formula": "TbDyY14", "functional": "GGA-PBE", "state": "relaxed", "ef_ev_per_atom": 0.0211, "lattice_angstrom": [[7.143, 0.000, 0.000], [0.000, 7.143, 0.000], [0.000, 0.000, 10.068]], "species": ["Tb", "Dy", "Y", "Y", "Y", "Y", "Y", "Y", "Y", "Y", "Y", "Y", "Y", "Y", "Y", "Y"], "frac_coords": [[0.000, 0.000, 0.000], [0.500, 0.500, 0.000], [0.000, 0.000, 0.500], [0.000, 0.500, 0.000], [0.000, 0.500, 0.500], [0.250, 0.250, 0.249], [0.250, 0.250, 0.751], [0.250, 0.750, 0.249], [0.250, 0.750, 0.751], [0.500, 0.000, 0.000], [0.500, 0.000, 0.500], [0.500, 0.500, 0.500], [0.750, 0.250, 0.249], [0.750, 0.250, 0.751], [0.750, 0.750, 0.249], [0.750, 0.750, 0.751]]}

***

(7)
{"formula": "AcPd2Pt2", "functional": "GGA-PBE", "state": "relaxed", "ef_ev_per_atom": -0.5489, "lattice_angstrom": [[-2.180, 2.180, 11.146], [2.180, -2.180, 11.146], [2.180, 2.180, -11.146]], "species": ["Ac", "Ac", "Pd", "Pd", "Pd", "Pd", "Pt", "Pt", "Pt", "Pt"], "frac_coords": [[0.128, 0.128, 0.000], [0.872, 0.872, 0.000], [0.000, 0.500, 0.500], [0.320, 0.320, 0.000], [0.500, 0.000, 0.500], [0.680, 0.680, 0.000], [0.250, 0.750, 0.500], [0.434, 0.434, 0.000], [0.566, 0.566, 0.000], [0.750, 0.250, 0.500]]}

***

(8)
{"formula": "GdThInAu", "functional": "GGA-PBE", "state": "relaxed", "ef_ev_per_atom": -0.4681, "lattice_angstrom": [[0.000, 3.772, 3.772], [3.772, 0.000, 3.772], [3.772, 3.772, 0.000]], "species": ["Gd", "Th", "In", "Au"], "frac_coords": [[0.000, 0.000, 0.000], [0.500, 0.500, 0.500], [0.750, 0.750, 0.750], [0.250, 0.250, 0.250]]}

***

(9)
{"formula": "SrPd3Cl", "functional": "GGA-PBE", "state": "relaxed", "e_form_raw_ev_per_fu": -0.636, "lattice_angstrom": [[4.783, 0.000, 0.000], [0.000, 4.783, 0.000], [0.000, 0.000, 4.783]], "species": ["Sr", "Pd", "Pd", "Pd", "Cl"], "frac_coords": [[0.000, 0.000, 0.000], [0.000, 0.500, 0.500], [0.500, 0.000, 0.500], [0.500, 0.500, 0.000], [0.500, 0.500, 0.500]]}

***

(10)
{"formula": "Cs3K6Pb", "functional": "GGA-PBE", "state": "relaxed", "ef_ev_per_atom": -0.0106, "lattice_angstrom": [[15.676, 0.000, 0.000], [0.000, 6.130, 0.000], [-7.562, 0.000, 16.220]], "species": ["Cs", "Cs", "Cs", "Cs", "Cs", "Cs", "K", "K", "K", "K", "K", "K", "K", "K", "K", "K", "K", "K", "Pb", "Pb"], "frac_coords": [[0.026, 0.250, 0.367], [0.215, 0.250, 0.924], [0.273, 0.750, 0.215], [0.727, 0.250, 0.785], [0.785, 0.750, 0.076], [0.974, 0.750, 0.633], [0.026, 0.250, 0.096], [0.240, 0.250, 0.668], [0.299, 0.750, 0.518], [0.425, 0.250, 0.420], [0.470, 0.750, 0.757], [0.477, 0.750, 0.079], [0.523, 0.250, 0.921], [0.530, 0.250, 0.243], [0.575, 0.750, 0.580], [0.701, 0.250, 0.482], [0.760, 0.750, 0.332], [0.974, 0.750, 0.904], [0.452, 0.250, 0.637], [0.548, 0.750, 0.363]]}

***

(11)
{"formula": "Ti3MnAg3S8", "functional": "GGA-PBE", "state": "relaxed", "e_form_raw_ev_per_fu": -11.556, "lattice_angstrom": [[5.865, -3.384, 0.000], [5.865, 3.384, 0.000], [-3.937, 0.000, 6.969]], "species": ["Ti", "Ti", "Ti", "Mn", "Ag", "Ag", "Ag", "S", "S", "S", "S", "S", "S", "S", "S"], "frac_coords": [[0.000, 0.000, 0.000], [0.000, 0.500, 0.000], [0.500, 0.000, 0.000], [0.500, 0.500, 0.000], [0.000, 0.500, 0.500], [0.500, 0.000, 0.500], [0.500, 0.500, 0.500], [0.236, 0.236, 0.207], [0.251, 0.728, 0.207], [0.272, 0.272, 0.793], [0.272, 0.749, 0.793], [0.728, 0.251, 0.207], [0.728, 0.728, 0.207], [0.749, 0.272, 0.793], [0.764, 0.764, 0.793]]}

***

(12)
{"formula": "NpZnS", "functional": "GGA-PBE", "state": "relaxed", "e_form_raw_ev_per_fu": -2.062, "lattice_angstrom": [[3.858, 0.000, 0.000], [0.000, 3.858, 0.000], [0.000, 0.000, 8.375]], "species": ["Np", "Np", "Zn", "Zn", "S", "S"], "frac_coords": [[0.250, 0.250, 0.171], [0.750, 0.750, 0.829], [0.250, 0.250, 0.535], [0.750, 0.750, 0.465], [0.250, 0.250, 0.841], [0.750, 0.750, 0.159]]}

***

(13)
{"formula": "TmTiCd", "functional": "GGA-PBE", "state": "relaxed", "ef_ev_per_atom": -0.0312, "lattice_angstrom": [[-1.635, 1.635, 6.271], [1.635, -1.635, 6.271], [1.635, 1.635, -6.271]], "species": ["Tm", "Ti", "Cd"], "frac_coords": [[0.000, 0.000, 0.000], [0.664, 0.664, 0.000], [0.313, 0.313, 0.000]]}

***

(14)
{"formula": "Tl2SbPb", "functional": "GGA-PBE", "state": "relaxed", "e_form_raw_ev_per_fu": 0.193, "lattice_angstrom": [[3.328, 0.000, 0.000], [0.000, 3.328, 0.000], [0.000, 0.000, 11.117]], "species": ["Tl", "Tl", "Sb", "Pb"], "frac_coords": [[0.000, 0.000, 0.239], [0.000, 0.000, 0.761], [0.500, 0.500, 0.000], [0.500, 0.500, 0.500]]}

***

(15)
{"formula": "Y8Er3", "functional": "GGA-PBE", "state": "relaxed", "ef_ev_per_atom": 0.5440, "lattice_angstrom": [[4.834, 2.791, 4.484], [-4.834, 2.791, 4.484], [0.000, -5.582, 4.484]], "species": ["Y", "Y", "Y", "Y", "Y", "Y", "Y", "Y", "Er", "Er", "Er"], "frac_coords": [[0.117, 0.117, 0.117], [0.194, 0.618, 0.350], [0.350, 0.194, 0.618], [0.382, 0.650, 0.806], [0.618, 0.350, 0.194], [0.650, 0.806, 0.382], [0.806, 0.382, 0.650], [0.883, 0.883, 0.883], [0.000, 0.000, 0.500], [0.000, 0.500, 0.000], [0.500, 0.000, 0.000]]}

***

(16)
{"formula": "NdHoLu2", "functional": "GGA-PBE", "state": "relaxed", "ef_ev_per_atom": 0.0334, "lattice_angstrom": [[3.540, 0.000, 0.000], [0.000, 3.540, 0.000], [0.000, 0.000, 9.953]], "species": ["Nd", "Ho", "Lu", "Lu"], "frac_coords": [[0.000, 0.000, 0.000], [0.000, 0.000, 0.500], [0.500, 0.500, 0.255], [0.500, 0.500, 0.745]]}

***

(17)
{"formula": "Dy2Ho3Se6", "functional": "GGA-PBE", "state": "relaxed", "e_form_raw_ev_per_fu": -19.362, "lattice_angstrom": [[2.050, 1.184, 20.079], [-2.050, 1.184, 20.079], [0.000, -2.368, 20.079]], "species": ["Dy", "Dy", "Ho", "Ho", "Ho", "Se", "Se", "Se", "Se", "Se", "Se"], "frac_coords": [[0.054, 0.054, 0.054], [0.946, 0.946, 0.946], [0.220, 0.220, 0.220], [0.500, 0.500, 0.500], [0.780, 0.780, 0.780], [0.140, 0.140, 0.140], [0.303, 0.303, 0.303], [0.418, 0.418, 0.418], [0.582, 0.582, 0.582], [0.697, 0.697, 0.697], [0.860, 0.860, 0.860]]}

***

(18)
{"formula": "SrCoW3", "functional": "GGA-PBE", "state": "relaxed", "ef_ev_per_atom": 1.4844, "lattice_angstrom": [[4.656, 0.000, 0.000], [0.000, 4.656, 0.000], [0.000, 0.000, 4.656]], "species": ["Sr", "Co", "W", "W", "W"], "frac_coords": [[0.000, 0.000, 0.000], [0.500, 0.500, 0.500], [0.000, 0.500, 0.500], [0.500, 0.000, 0.500], [0.500, 0.500, 0.000]]}

***

(19)
{"formula": "Cd5Hg12H2", "functional": "GGA-PBE", "state": "relaxed", "energy_ev_per_fu": -12.670, "lattice_angstrom": [[6.523, -3.730, 0.000], [6.523, 3.730, 0.000], [-1.041, 0.000, 10.516]], "species": ["Cd", "Cd", "Cd", "Cd", "Cd", "Hg", "Hg", "Hg", "Hg", "Hg", "Hg", "Hg", "Hg", "Hg", "Hg", "Hg", "Hg", "H", "H"], "frac_coords": [[0.000, 0.000, 0.000], [0.269, 0.269, 0.179], [0.390, 0.390, 0.453], [0.610, 0.610, 0.547], [0.731, 0.731, 0.821], [0.065, 0.065, 0.721], [0.070, 0.488, 0.647], [0.152, 0.556, 0.951], [0.444, 0.848, 0.049], [0.488, 0.070, 0.647], [0.498, 0.498, 0.210], [0.502, 0.502, 0.790], [0.512, 0.930, 0.353], [0.556, 0.152, 0.951], [0.848, 0.444, 0.049], [0.930, 0.512, 0.353], [0.935, 0.935, 0.279], [0.319, 0.681, 0.500], [0.681, 0.319, 0.500]]}

***

(20)
{"formula": "MgSiRu2", "functional": "GGA-PBE", "state": "relaxed", "e_form_raw_ev_per_fu": -0.020, "lattice_angstrom": [[2.969, 0.000, 0.000], [0.000, 4.061, 0.000], [0.000, 0.000, 4.720]], "species": ["Mg", "Si", "Ru", "Ru"], "frac_coords": [[0.000, 0.000, 0.000], [0.500, 0.000, 0.500], [0.000, 0.500, 0.500], [0.500, 0.500, 0.000]]}

***

(21)
{"formula": "Pr2SmHg2", "functional": "GGA-PBE", "state": "relaxed", "ef_ev_per_atom": -0.3781, "lattice_angstrom": [[3.838, 0.000, 0.000], [0.000, 5.482, 0.000], [-1.922, 0.000, 14.164]], "species": ["Pr", "Pr", "Pr", "Pr", "Sm", "Sm", "Hg", "Hg", "Hg", "Hg"], "frac_coords": [[0.046, 0.250, 0.091], [0.233, 0.250, 0.469], [0.767, 0.750, 0.531], [0.954, 0.750, 0.909], [0.147, 0.750, 0.291], [0.853, 0.250, 0.709], [0.359, 0.750, 0.717], [0.446, 0.250, 0.895], [0.554, 0.750, 0.105], [0.641, 0.250, 0.283]]}

***

(22)
{"formula": "Tb2ThCd", "functional": "GGA-PBE", "state": "relaxed", "ef_ev_per_atom": -0.1700, "lattice_angstrom": [[3.614, 0.000, 0.000], [0.000, 3.614, 0.000], [0.000, 0.000, 8.903]], "species": ["Tb", "Tb", "Th", "Cd"], "frac_coords": [[0.000, 0.000, 0.232], [0.000, 0.000, 0.768], [0.500, 0.500, 0.500], [0.500, 0.500, 0.000]]}

***

(23)
{"formula": "MgAl4", "functional": "GGA-PBE", "state": "relaxed", "ef_ev_per_atom": 0.9304, "lattice_angstrom": [[5.064, 0.000, 0.000], [0.000, 5.064, 0.000], [0.000, 0.000, 5.064]], "species": ["Mg", "Al", "Al", "Al", "Al"], "frac_coords": [[0.000, 0.000, 0.000], [0.000, 0.000, 0.500], [0.000, 0.500, 0.000], [0.500, 0.000, 0.000], [0.500, 0.500, 0.500]]}